A plane-wave DFT calculation with PBE was carried out for a relaxed structure of Zn2Ga2Au.

The space group is P4/mbm (No. 127) and the conventional cell measures 6.7770, 6.7770 and 3.9109 Å, with angles of 90.00, 90.00 and 90.00 degrees. The distinct sites, in fractional coordinates, are Zn at (0.1356, 0.3644, 0.0000), Ga at (0.1665, 0.6665, 0.5000) and Au at (0.0000, 0.0000, 0.0000).

The value obtained for the calculated formation energy is 0.002 eV/atom. As for the total energy: -2.374 eV per atom. As for the density of states at the Fermi level: 0.384 states/eV per atom.

A plane-wave DFT calculation with PBE was carried out for a relaxed structure of Al2SbIr.

The space group is I-4m2 (No. 119) and the conventional cell measures 4.2183, 4.2183 and 7.8684 Å, with angles of 90.00, 90.00 and 90.00 degrees. The distinct sites, in fractional coordinates, are Al at (0.0000, 0.0000, 0.0000), Al at (0.0000, 0.5000, 0.2500), Sb at (0.0000, 0.0000, 0.5000) and Ir at (0.0000, 0.5000, 0.7500).

As for the total energy: -5.049 eV per atom. As for the density of states at the Fermi level: 0.559 states/eV per atom. The calculation puts the formation energy from raw total energies at 0.068 eV/atom.

A plane-wave DFT calculation with PBE was carried out for a relaxed structure of TbPr4Dy3Se8.

The space group is R-3m (No. 166, hexagonal axes) and the conventional cell measures 8.2477, 8.2477 and 20.9586 Å, with angles of 90.00, 90.00 and 120.00 degrees. The distinct sites, in fractional coordinates, are Tb at (0.0000, 0.0000, 0.0000), Pr at (0.0000, 0.0000, 0.5000), Pr at (0.0000, 0.5000, 0.5000), Dy at (0.0000, 0.5000, 0.0000), Se at (0.0000, 0.0000, 0.2561) and Se at (0.0010, 0.5005, 0.2559).

As for the total energy: -5.892 eV per atom. As for the density of states at the Fermi level: 0.545 states/eV per atom. The calculation puts the formation energy from raw total energies at -1.803 eV/atom.

A plane-wave DFT calculation with PBE was carried out for a relaxed structure of Ba5C.

The space group is P6/mmm (No. 191) and the conventional cell measures 7.9256, 7.9256 and 7.6161 Å, with angles of 90.00, 90.00 and 120.00 degrees. The distinct sites, in fractional coordinates, are Ba at (0.0000, 0.5000, 0.0000), Ba at (0.3333, 0.6667, 0.5000) and C at (0.0000, 0.0000, 0.5000).

The value obtained for the calculated formation energy is 1.421 eV/atom. As for the total energy: -1.719 eV per atom. As for the density of states at the Fermi level: 1.525 states/eV per atom.

A plane-wave DFT calculation with PBE was carried out for a relaxed structure of MgScTlPb.

The space group is F-43m (No. 216) and the conventional cell measures 7.3559, 7.3559 and 7.3559 Å, with angles of 90.00, 90.00 and 90.00 degrees. The distinct sites, in fractional coordinates, are Mg at (0.0000, 0.0000, 0.0000), Sc at (0.0000, 0.0000, 0.5000), Tl at (0.2500, 0.2500, 0.7500) and Pb at (0.2500, 0.2500, 0.2500).

The value obtained for the calculated formation energy is -0.096 eV/atom. As for the total energy: -3.596 eV per atom. As for the density of states at the Fermi level: 0.900 states/eV per atom.

A plane-wave DFT calculation with PBE was carried out for a relaxed structure of AlSb2Rh.

The space group is I-42d (No. 122) and the conventional cell measures 6.1798, 6.1798 and 11.7971 Å, with angles of 90.00, 90.00 and 90.00 degrees. The distinct sites, in fractional coordinates, are Al at (0.0000, 0.0000, 0.0000), Sb at (0.2267, 0.2500, 0.6250) and Rh at (0.0000, 0.0000, 0.5000).

As for the total energy: -4.802 eV per atom. As for the density of states at the Fermi level: 0.644 states/eV per atom. The calculation puts the formation energy from raw total energies at 0.033 eV/atom.

A plane-wave DFT calculation with PBE was carried out for a relaxed structure of AgBiPb2.

The space group is R-3m (No. 166, hexagonal axes) and the conventional cell measures 3.3874, 3.3874 and 35.7742 Å, with angles of 90.00, 90.00 and 120.00 degrees. The distinct sites, in fractional coordinates, are Ag at (0.0000, 0.0000, 0.0000), Bi at (0.0000, 0.0000, 0.5000) and Pb at (0.0000, 0.0000, 0.0817).

The value obtained for the calculated formation energy is 0.211 eV/atom. As for the total energy: -3.327 eV per atom. As for the density of states at the Fermi level: 0.487 states/eV per atom.

A plane-wave DFT calculation with PBE was carried out for a relaxed structure of HfNb6Sn.

The space group is Pmmm (No. 47) and the conventional cell measures 2.7946, 5.0527 and 11.1007 Å, with angles of 90.00, 90.00 and 90.00 degrees. The distinct sites, in fractional coordinates, are Hf at (0.0000, 0.0000, 0.0000), Nb at (0.0000, 0.5000, 0.3683), Nb at (0.5000, 0.0000, 0.2572), Nb at (0.5000, 0.5000, 0.1264) and Sn at (0.0000, 0.0000, 0.5000).

The value obtained for the calculated formation energy is 0.178 eV/atom. As for the total energy: -9.119 eV per atom. As for the density of states at the Fermi level: 1.125 states/eV per atom.

A plane-wave DFT calculation with PBE was carried out for a relaxed structure of TlTcMo.

The space group is Cm (No. 8) and the conventional cell measures 4.9161, 3.1407 and 14.5035 Å, with angles of 90.00, 92.17 and 90.00 degrees. The distinct sites, in fractional coordinates, are Tl at (0.0000, 0.0000, 0.0000), Tl at (0.0422, 0.0000, 0.7781), Tc at (0.2010, 0.5000, 0.4690), Tc at (0.3705, 0.0000, 0.6045), Mo at (0.1849, 0.5000, 0.1784) and Mo at (0.1932, 0.0000, 0.3208).

The value obtained for the calculated formation energy is 0.425 eV/atom. As for the total energy: -7.429 eV per atom. As for the density of states at the Fermi level: 0.595 states/eV per atom.

A plane-wave DFT calculation with PBE was carried out for a relaxed structure of LiMn2Fe.

The space group is R-3m (No. 166, hexagonal axes) and the conventional cell measures 2.4669, 2.4669 and 25.7332 Å, with angles of 90.00, 90.00 and 120.00 degrees. The distinct sites, in fractional coordinates, are Li at (0.0000, 0.0000, 0.0000), Mn at (0.0000, 0.0000, 0.2431) and Fe at (0.0000, 0.0000, 0.5000).

The value obtained for the calculated formation energy is 0.265 eV/atom. As for the total energy: -6.914 eV per atom. As for the density of states at the Fermi level: 0.899 states/eV per atom.

A plane-wave DFT calculation with PBE was carried out for a relaxed structure of CdGeMo2Se.

The space group is P4/mmm (No. 123) and the conventional cell measures 4.8387, 4.8387 and 4.8354 Å, with angles of 90.00, 90.00 and 90.00 degrees. The distinct sites, in fractional coordinates, are Cd at (0.0000, 0.0000, 0.0000), Ge at (0.0000, 0.0000, 0.5000), Mo at (0.0000, 0.5000, 0.5000) and Se at (0.5000, 0.5000, 0.0000).

As for the total energy: -4.876 eV per atom. As for the density of states at the Fermi level: 1.037 states/eV per atom. The calculation puts the formation energy from raw total energies at 1.259 eV/atom.

A plane-wave DFT calculation with PBE was carried out for a relaxed structure of Tb4YTm.

The space group is F-43m (No. 216) and the conventional cell measures 9.2687, 9.2687 and 9.2687 Å, with angles of 90.00, 90.00 and 90.00 degrees. The distinct sites, in fractional coordinates, are Tb at (0.1250, 0.1250, 0.1250), Y at (0.0000, 0.0000, 0.5000) and Tm at (0.2500, 0.2500, 0.7500).

The value obtained for the calculated formation energy is 0.245 eV/atom. As for the total energy: -4.665 eV per atom. As for the density of states at the Fermi level: 1.566 states/eV per atom.